# LaScTa2

An optimized crystal structure of LaScTa2 (PBEsol, the Alexandria database). Values from VASP.

```
&SYSTEM
  ibrav = 0, nat = 4, ntyp = 3
/
ATOMIC_SPECIES
La 138.91 La.upf
Sc 44.96 Sc.upf
Ta 180.95 Ta.upf
CELL_PARAMETERS angstrom
4.211 0.000 0.000
0.000 4.211 0.000
0.000 0.000 4.797
ATOMIC_POSITIONS crystal
La 0.000 0.000 0.000
Sc 0.500 0.500 0.000
Ta 0.000 0.500 0.500
Ta 0.500 0.000 0.500
```

Computed properties:
DOS at the Fermi energy, states/eV/cell: 4.4
Space group: P4/mmm (123)
ΔE to the lowest computed polymorph, meV/atom: 294.9